# 1
## HfScPa2N5 (PBE-GGA)

Data for a relaxed structure of HfScPa2N5.

Structure (POSCAR):
```
HfScPa2N5
1.0
-3.124 -1.094 0.948
3.450 -5.736 -1.503
3.287 -0.662 10.070
Hf Sc Pa N
2 2 4 10
direct
0.532 0.063 0.968 Hf
0.468 0.937 0.468 Hf
0.774 0.547 0.496 Sc
0.226 0.453 0.996 Sc
0.854 0.709 0.767 Pa
0.109 0.219 0.691 Pa
0.146 0.291 0.267 Pa
0.891 0.781 0.191 Pa
0.383 0.766 0.039 N
0.689 0.379 0.864 N
0.483 0.965 0.778 N
0.275 0.549 0.654 N
0.935 0.870 0.567 N
0.617 0.234 0.539 N
0.311 0.621 0.364 N
0.517 0.035 0.278 N
0.725 0.451 0.154 N
0.065 0.130 0.067 N
```

Calculated values
For the uncorrected formation energy, the calculation gives -1.57 eV/atom.

---

# 2
## HfScPa2N4 (PBE-GGA)

Data for a relaxed structure of HfScPa2N4.

Structure (POSCAR):
```
HfScPa2N4
1.0
3.293 0.000 0.000
0.000 5.698 0.096
0.000 -1.997 5.619
Hf Sc Pa N
1 1 2 4
direct
0.000 0.000 0.000 Hf
0.500 0.500 0.000 Sc
0.500 0.000 0.500 Pa
0.000 0.500 0.500 Pa
0.500 0.238 0.222 N
0.500 0.762 0.778 N
0.000 0.255 0.775 N
0.000 0.745 0.225 N
```

Calculated values
For the uncorrected formation energy, the calculation gives -1.71 eV/atom.

---

# 3
## HfPaSeN2 (PBE-GGA)

Data for a relaxed structure of HfPaSeN2.

Structure (POSCAR):
```
HfPaSeN2
1.0
3.911 0.000 0.000
0.000 6.339 -0.536
0.000 -1.961 7.268
Hf Pa Se N
2 2 2 4
direct
0.250 0.652 0.417 Hf
0.750 0.348 0.583 Hf
0.250 0.706 0.937 Pa
0.750 0.294 0.063 Pa
0.250 0.044 0.725 Se
0.750 0.956 0.275 Se
0.750 0.503 0.378 N
0.250 0.497 0.622 N
0.750 0.524 0.883 N
0.250 0.476 0.117 N
```

Calculated values
For the uncorrected formation energy, the calculation gives -1.64 eV/atom.

---

# 4
## HfPa2SnN6 (PBE-GGA)

Data for a relaxed structure of HfPa2SnN6.

Structure (POSCAR):
```
HfPa2SnN6
1.0
-2.880 0.272 4.375
0.296 -5.319 0.525
4.464 0.535 2.905
Hf Pa Sn N
1 2 1 6
direct
0.574 0.500 0.500 Hf
0.982 0.500 0.000 Pa
0.982 0.000 0.500 Pa
0.560 0.000 0.000 Sn
0.748 0.251 0.251 N
0.748 0.251 0.749 N
0.184 0.500 0.500 N
0.173 0.000 0.000 N
0.748 0.749 0.749 N
0.748 0.749 0.251 N
```

Calculated values
For the uncorrected formation energy, the calculation gives -0.91 eV/atom.

---

# 5
## HfPa2SnN5 (PBE-GGA)

Data for a relaxed structure of HfPa2SnN5.

Structure (POSCAR):
```
HfPa2SnN5
1.0
-2.201 -2.051 1.450
6.433 -2.738 2.046
-0.102 6.274 8.717
Hf Pa Sn N
2 4 2 10
direct
0.759 0.518 0.493 Hf
0.241 0.482 0.993 Hf
0.864 0.729 0.747 Pa
0.130 0.261 0.727 Pa
0.136 0.271 0.247 Pa
0.870 0.739 0.227 Pa
0.508 0.015 0.976 Sn
0.492 0.985 0.476 Sn
0.379 0.759 0.069 N
0.715 0.430 0.856 N
0.492 0.983 0.780 N
0.278 0.555 0.640 N
0.918 0.836 0.535 N
0.621 0.241 0.569 N
0.285 0.570 0.356 N
0.508 0.017 0.280 N
0.722 0.445 0.140 N
0.082 0.164 0.035 N
```

Calculated values
For the uncorrected formation energy, the calculation gives -1.03 eV/atom.

---

# 6
## Sr4HfPa3N8 (PBE-GGA)

Data for a relaxed structure of Sr4HfPa3N8.

Structure (POSCAR):
```
Sr4HfPa3N8
1.0
-2.613 -2.309 -6.175
2.871 -6.544 1.232
-4.329 2.854 4.837
Sr Hf Pa N
4 1 3 8
direct
0.500 0.000 0.000 Sr
0.500 0.000 0.500 Sr
0.000 0.000 0.000 Sr
0.000 0.000 0.500 Sr
0.000 0.500 0.000 Hf
0.500 0.500 0.000 Pa
0.500 0.500 0.500 Pa
0.000 0.500 0.500 Pa
0.228 0.693 0.965 N
0.228 0.693 0.456 N
0.268 0.304 0.536 N
0.737 0.693 0.965 N
0.263 0.307 0.035 N
0.732 0.696 0.464 N
0.772 0.307 0.544 N
0.772 0.307 0.035 N
```

Calculated values
For the uncorrected formation energy, the calculation gives -1.36 eV/atom.

---

# 7
## SrHfPaN4 (PBE-GGA)

Data for a relaxed structure of SrHfPaN4.

Structure (POSCAR):
```
SrHfPaN4
1.0
-1.119 -0.924 5.575
5.062 -3.247 0.478
3.687 5.555 -1.316
Sr Hf Pa N
2 2 2 8
direct
0.602 0.750 0.204 Sr
0.398 0.250 0.796 Sr
0.243 0.750 0.485 Hf
0.757 0.250 0.515 Hf
0.118 0.250 0.237 Pa
0.882 0.750 0.763 Pa
0.952 0.250 0.904 N
0.410 0.750 0.820 N
0.048 0.750 0.096 N
0.590 0.250 0.180 N
0.500 0.500 0.500 N
0.000 0.000 0.500 N
0.500 0.000 0.500 N
0.000 0.500 0.500 N
```

Calculated values
For the uncorrected formation energy, the calculation gives -1.00 eV/atom.

---

# 8
## SrHf4PaN8 (PBE-GGA)

Data for a relaxed structure of SrHf4PaN8.

Structure (POSCAR):
```
SrHf4PaN8
1.0
6.583 0.000 0.000
3.291 5.701 0.000
3.291 1.900 5.578
Sr Hf Pa N
1 4 1 8
direct
0.374 0.374 0.878 Sr
0.624 0.624 0.127 Hf
0.005 0.489 0.501 Hf
0.489 0.005 0.501 Hf
0.005 0.005 0.501 Hf
0.003 0.003 0.992 Pa
0.232 0.815 0.722 N
0.815 0.232 0.722 N
0.232 0.232 0.722 N
0.230 0.230 0.311 N
0.753 0.232 0.262 N
0.232 0.753 0.262 N
0.753 0.753 0.262 N
0.754 0.754 0.737 N
```

Calculated values
For the uncorrected formation energy, the calculation gives -1.41 eV/atom.

---

# 9
## Sr3HfPa3N8 (PBE-GGA)

Data for a relaxed structure of Sr3HfPa3N8.

Structure (POSCAR):
```
Sr3HfPa3N8
1.0
-1.539 -6.567 1.960
5.585 3.264 2.738
-6.656 2.155 1.994
Sr Hf Pa N
3 1 3 8
direct
0.000 0.000 0.000 Sr
0.000 0.500 0.000 Sr
0.500 0.500 0.000 Sr
0.000 0.000 0.500 Hf
0.500 0.000 0.500 Pa
0.500 0.500 0.500 Pa
0.000 0.500 0.500 Pa
0.264 0.529 0.294 N
0.736 0.471 0.706 N
0.778 0.555 0.321 N
0.222 0.445 0.679 N
0.778 0.043 0.321 N
0.222 0.957 0.679 N
0.266 0.043 0.321 N
0.734 0.957 0.679 N
```

Calculated values
For the uncorrected formation energy, the calculation gives -1.39 eV/atom.

---

# 10
## Hf2PaTaN6 (PBE-GGA)

Data for a relaxed structure of Hf2PaTaN6.

Structure (POSCAR):
```
Hf2PaTaN6
1.0
5.563 0.000 0.000
2.782 4.818 0.000
2.782 1.606 4.860
Hf Pa Ta N
2 1 1 6
direct
0.525 0.525 0.424 Hf
0.023 0.023 0.931 Hf
0.802 0.802 0.593 Pa
0.311 0.311 0.068 Ta
0.600 0.217 0.249 N
0.217 0.934 0.249 N
0.934 0.600 0.249 N
0.393 0.714 0.751 N
0.714 0.142 0.751 N
0.142 0.393 0.751 N
```

Calculated values
For the uncorrected formation energy, the calculation gives -1.42 eV/atom.

---

# 11
## Tb3HfPa3N8 (PBE-GGA)

Data for a relaxed structure of Tb3HfPa3N8.

Structure (POSCAR):
```
Tb3HfPa3N8
1.0
6.904 0.000 0.000
-3.452 5.979 -0.021
0.000 -3.966 5.636
Tb Hf Pa N
3 1 3 8
direct
0.000 0.000 0.000 Tb
0.000 0.500 0.000 Tb
0.500 0.500 0.000 Tb
0.000 0.000 0.500 Hf
0.500 0.000 0.500 Pa
0.500 0.500 0.500 Pa
0.000 0.500 0.500 Pa
0.253 0.506 0.259 N
0.747 0.494 0.741 N
0.772 0.543 0.288 N
0.228 0.457 0.712 N
0.772 0.016 0.288 N
0.228 0.984 0.712 N
0.244 0.016 0.288 N
0.756 0.984 0.712 N
```

Calculated values
For the uncorrected formation energy, the calculation gives -1.59 eV/atom.

---

# 12
## Tb2HfPaN4 (PBE-GGA)

Data for a relaxed structure of Tb2HfPaN4.

Structure (POSCAR):
```
Tb2HfPaN4
1.0
3.415 0.000 0.000
0.000 5.910 0.124
0.000 -2.046 5.571
Tb Hf Pa N
2 1 1 4
direct
0.500 0.000 0.500 Tb
0.000 0.500 0.500 Tb
0.000 0.000 0.000 Hf
0.500 0.500 0.000 Pa
0.500 0.235 0.222 N
0.500 0.765 0.778 N
0.000 0.245 0.770 N
0.000 0.755 0.230 N
```

Calculated values
For the uncorrected formation energy, the calculation gives -1.69 eV/atom.

---

# 13
## Tb3HfPa2N6 (PBE-GGA)

Data for a relaxed structure of Tb3HfPa2N6.

Structure (POSCAR):
```
Tb3HfPa2N6
1.0
-2.272 -4.743 -2.827
5.139 2.405 -1.859
1.904 -2.652 5.005
Tb Hf Pa N
3 1 2 6
direct
0.165 0.835 0.500 Tb
0.835 0.165 0.500 Tb
0.500 0.500 0.500 Tb
0.000 0.000 0.000 Hf
0.334 0.666 0.000 Pa
0.666 0.334 0.000 Pa
0.925 0.598 0.774 N
0.752 0.752 0.232 N
0.075 0.402 0.226 N
0.598 0.925 0.774 N
0.248 0.248 0.768 N
0.402 0.075 0.226 N
```

Calculated values
For the uncorrected formation energy, the calculation gives -1.68 eV/atom.

---

# 14
## TbHfPa2N4 (PBE-GGA)

Data for a relaxed structure of TbHfPa2N4.

Structure (POSCAR):
```
TbHfPa2N4
1.0
3.391 0.000 0.000
0.000 5.887 0.108
0.000 -2.051 5.630
Tb Hf Pa N
1 1 2 4
direct
0.500 0.500 0.000 Tb
0.000 0.000 0.000 Hf
0.500 0.000 0.500 Pa
0.000 0.500 0.500 Pa
0.500 0.228 0.231 N
0.500 0.772 0.769 N
0.000 0.234 0.758 N
0.000 0.766 0.242 N
```

Calculated values
For the uncorrected formation energy, the calculation gives -1.65 eV/atom.

---

# 15
## TbHfPa2N6 (PBE-GGA)

Data for a relaxed structure of TbHfPa2N6.

Structure (POSCAR):
```
TbHfPa2N6
1.0
5.844 0.000 0.000
2.922 5.061 0.000
2.922 1.687 4.975
Tb Hf Pa N
1 1 2 6
direct
0.797 0.797 0.608 Tb
0.309 0.309 0.073 Hf
0.526 0.526 0.423 Pa
0.021 0.021 0.937 Pa
0.613 0.215 0.239 N
0.215 0.932 0.239 N
0.932 0.613 0.239 N
0.397 0.703 0.752 N
0.703 0.148 0.752 N
0.148 0.397 0.752 N
```

Calculated values
For the uncorrected formation energy, the calculation gives -1.46 eV/atom.

---

# 16
## HfPaTe2N (PBE-GGA)

Data for a relaxed structure of HfPaTe2N.

Structure (POSCAR):
```
HfPaTe2N
1.0
-1.860 -2.600 -2.136
2.123 -2.800 1.559
-10.714 -1.745 11.456
Hf Pa Te N
2 2 4 2
direct
0.500 0.000 0.056 Hf
0.000 0.500 0.944 Hf
0.500 0.000 0.578 Pa
0.000 0.500 0.422 Pa
0.000 0.500 0.689 Te
0.000 0.500 0.134 Te
0.500 0.000 0.866 Te
0.500 0.000 0.311 Te
0.000 0.000 0.500 N
0.500 0.500 0.500 N
```

Calculated values
For the uncorrected formation energy, the calculation gives -1.20 eV/atom.

---

# 17
## HfTh2PaN4 (PBE-GGA)

Data for a relaxed structure of HfTh2PaN4.

Structure (POSCAR):
```
HfTh2PaN4
1.0
-1.784 -0.578 -2.905
3.520 -4.734 -1.220
-4.782 -1.935 3.322
Hf Th Pa N
1 2 1 4
direct
0.000 0.000 0.000 Hf
0.500 0.000 0.500 Th
0.000 0.500 0.500 Th
0.500 0.500 0.000 Pa
0.500 0.226 0.210 N
0.500 0.774 0.790 N
0.000 0.246 0.785 N
0.000 0.754 0.215 N
```

Calculated values
For the uncorrected formation energy, the calculation gives -1.62 eV/atom.

---

# 18
## HfThPa2N4 (PBE-GGA)

Data for a relaxed structure of HfThPa2N4.

Structure (POSCAR):
```
HfThPa2N4
1.0
-3.098 -1.469 0.373
2.538 -4.573 3.077
-1.566 4.278 3.849
Hf Th Pa N
1 1 2 4
direct
0.000 0.000 0.000 Hf
0.500 0.500 0.000 Th
0.500 0.000 0.500 Pa
0.000 0.500 0.500 Pa
0.500 0.221 0.234 N
0.500 0.779 0.766 N
0.000 0.220 0.751 N
0.000 0.780 0.249 N
```

Calculated values
For the uncorrected formation energy, the calculation gives -1.60 eV/atom.

---

# 19
## HfTh2PaN6 (PBE-GGA)

Data for a relaxed structure of HfTh2PaN6.

Structure (POSCAR):
```
HfTh2PaN6
1.0
5.985 0.000 0.000
2.993 5.184 0.000
2.993 1.728 4.888
Hf Th Pa N
1 2 1 6
direct
0.310 0.310 0.070 Hf
0.541 0.541 0.378 Th
0.041 0.041 0.876 Th
0.809 0.809 0.572 Pa
0.595 0.175 0.270 N
0.175 0.960 0.270 N
0.960 0.595 0.270 N
0.449 0.671 0.770 N
0.671 0.110 0.770 N
0.110 0.449 0.770 N
```

Calculated values
For the uncorrected formation energy, the calculation gives -1.48 eV/atom.

---

# 20
## HfPa2Ti3N6 (PBE-GGA)

Data for a relaxed structure of HfPa2Ti3N6.

Structure (POSCAR):
```
HfPa2Ti3N6
1.0
5.629 -0.007 0.007
-2.819 4.872 0.007
-0.931 -1.612 5.209
Hf Pa Ti N
1 2 3 6
direct
0.000 0.000 0.000 Hf
0.333 0.667 0.000 Pa
0.667 0.333 0.000 Pa
0.156 0.844 0.500 Ti
0.844 0.156 0.500 Ti
0.500 0.500 0.500 Ti
0.910 0.587 0.728 N
0.767 0.767 0.271 N
0.090 0.413 0.272 N
0.587 0.910 0.728 N
0.233 0.233 0.729 N
0.413 0.090 0.272 N
```

Calculated values
For the uncorrected formation energy, the calculation gives -1.59 eV/atom.